Record 1
First-principles (PBE) data for Sc6CoCu after structural relaxation, as listed in Alexandria.

a = 6.1416 Å, b = 10.2271 Å, c = 6.0930 Å
α = 90.00°, β = 111.43°, γ = 90.00°
Space group C2/m (No. 12)
One atom of each set of equivalent atoms:
1 Sc 0.2359 0.1851 0.2438
2 Sc 0.2404 0.0000 0.7616
3 Co 0.0000 0.0000 0.0000
4 Cu 0.0000 0.5000 0.5000

## Properties
Total moment, μB/cell: 0.00
Relative energy among the computed polymorphs, kJ/mol of formula units: 90.9



Record 2
First-principles (PBE) data for Sc2CoCu after structural relaxation, as listed in Alexandria.

a = 2.9900 Å, b = 2.9900 Å, c = 27.1517 Å
α = 90.00°, β = 90.00°, γ = 120.00°
Space group R-3m (No. 166, hexagonal axes)
One atom of each set of equivalent atoms:
1 Sc 0.0000 0.0000 0.0847
2 Co 0.0000 0.0000 0.0000
3 Cu 0.0000 0.0000 0.5000

## Properties
Total moment, μB/cell: 2.36
Relative energy among the computed polymorphs, kJ/mol of formula units: 268.8



Record 3
First-principles (PBE) data for ScCo2Cu2 after structural relaxation, as listed in Alexandria.

a = 6.8836 Å, b = 6.8836 Å, c = 2.8100 Å
α = 90.00°, β = 90.00°, γ = 90.00°
Space group P4/mbm (No. 127)
One atom of each set of equivalent atoms:
1 Sc 0.0000 0.0000 0.0000
2 Co 0.1668 0.3332 0.5000
3 Cu 0.1281 0.6281 0.0000

## Properties
Total moment, μB/cell: 3.43
Relative energy among the computed polymorphs, kJ/mol of formula units: 35.2



Record 4
First-principles (PBE) data for Sc4CoCu3 after structural relaxation, as listed in Alexandria.

a = 3.2105 Å, b = 3.2105 Å, c = 13.0391 Å
α = 90.00°, β = 90.00°, γ = 90.00°
Space group P4/mmm (No. 123)
One atom of each set of equivalent atoms:
1 Sc 0.0000 0.0000 0.1173
2 Sc 0.0000 0.0000 0.3720
3 Co 0.5000 0.5000 0.0000
4 Cu 0.5000 0.5000 0.2460
5 Cu 0.5000 0.5000 0.5000

## Properties
Total moment, μB/cell: 0.45



Record 5
First-principles (PBE) data for Sc2CoCu after structural relaxation, as listed in Alexandria.

a = 3.2628 Å, b = 3.2628 Å, c = 6.5564 Å
α = 90.00°, β = 90.00°, γ = 90.00°
Space group P4mm (No. 99)
One atom of each set of equivalent atoms:
1 Sc 0.0000 0.0000 0.0000
2 Sc 0.5000 0.5000 0.3855
3 Co 0.0000 0.0000 0.5971
4 Cu 0.5000 0.5000 0.7883

## Properties
Total moment, μB/cell: 0.87
Relative energy among the computed polymorphs, kJ/mol of formula units: 93.4



Record 6
First-principles (PBE) data for Sc11Co4Cu9 after structural relaxation, as listed in Alexandria.

a = 12.6987 Å, b = 18.9626 Å, c = 3.2844 Å
α = 90.00°, β = 90.00°, γ = 90.00°
Space group Cmmm (No. 65)
One atom of each set of equivalent atoms:
1 Sc 0.0000 0.0000 0.0000
2 Sc 0.0000 0.1680 0.0000
3 Sc 0.0000 0.3668 0.0000
4 Sc 0.2133 0.5000 0.0000
5 Sc 0.2470 0.1682 0.0000
6 Co 0.1459 0.4056 0.5000
7 Cu 0.0000 0.5000 0.5000
8 Cu 0.1058 0.2639 0.5000
9 Cu 0.1364 0.0752 0.5000

## Properties
Total moment, μB/cell: 0.00



Record 7
First-principles (PBE) data for Sc5Co4Cu after structural relaxation, as listed in Alexandria.

a = 3.1324 Å, b = 3.1324 Å, c = 15.9985 Å
α = 90.00°, β = 90.00°, γ = 90.00°
Space group P4/mmm (No. 123)
One atom of each set of equivalent atoms:
1 Sc 0.0000 0.0000 0.0000
2 Sc 0.0000 0.0000 0.1950
3 Sc 0.0000 0.0000 0.3894
4 Co 0.5000 0.5000 0.0977
5 Co 0.5000 0.5000 0.2948
6 Cu 0.5000 0.5000 0.5000

## Properties
Total moment, μB/cell: 1.09



Record 8
First-principles (PBE) data for Sc2CoCu after structural relaxation, as listed in Alexandria.

a = 6.2881 Å, b = 6.2881 Å, c = 6.2881 Å
α = 90.00°, β = 90.00°, γ = 90.00°
Space group F-43m (No. 216)
One atom of each set of equivalent atoms:
1 Sc 0.0000 0.0000 0.0000
2 Sc 0.2500 0.2500 0.2500
3 Co 0.0000 0.0000 0.5000
4 Cu 0.2500 0.2500 0.7500

## Properties
Total moment, μB/cell: 1.92
Relative energy among the computed polymorphs, kJ/mol of formula units: 123.8



Record 9
First-principles (PBE) data for ScCo2Cu after structural relaxation, as listed in Alexandria.

a = 3.7136 Å, b = 3.7136 Å, c = 17.2079 Å
α = 90.00°, β = 90.00°, γ = 90.00°
Space group I-42d (No. 122)
One atom of each set of equivalent atoms:
1 Sc 0.0000 0.0000 0.0000
2 Co 0.1808 0.2500 0.6250
3 Cu 0.0000 0.0000 0.5000

## Properties
Total moment, μB/cell: 7.86



Record 10
First-principles (PBE) data for Sc3CoCu after structural relaxation, as listed in Alexandria.

a = 8.7407 Å, b = 5.7138 Å, c = 8.4914 Å
α = 90.00°, β = 120.63°, γ = 90.00°
Space group C2/m (No. 12)
One atom of each set of equivalent atoms:
1 Sc 0.0782 0.0000 0.2895
2 Sc 0.1940 0.5000 0.8876
3 Sc 0.2101 0.5000 0.2926
4 Co 0.0000 0.2508 0.0000
5 Cu 0.0000 0.2947 0.5000

## Properties
Total moment, μB/cell: 0.00
Relative energy among the computed polymorphs, kJ/mol of formula units: 0.0



Record 11
First-principles (PBE) data for Sc6CoCu5 after structural relaxation, as listed in Alexandria.

a = 4.5621 Å, b = 6.5131 Å, c = 13.6835 Å
α = 90.00°, β = 90.00°, γ = 90.00°
Space group Immm (No. 71)
One atom of each set of equivalent atoms:
1 Sc 0.0000 0.2409 0.0000
2 Sc 0.0000 0.2550 0.3375
3 Co 0.0000 0.5000 0.5000
4 Cu 0.0000 0.0000 0.1685
5 Cu 0.0000 0.0000 0.5000
6 Cu 0.0000 0.5000 0.1654

## Properties
Total moment, μB/cell: 0.00



Record 12
First-principles (PBE) data for ScCo2Cu2 after structural relaxation, as listed in Alexandria.

a = 3.6331 Å, b = 3.6331 Å, c = 10.7454 Å
α = 90.00°, β = 90.00°, γ = 90.00°
Space group I4/mmm (No. 139)
One atom of each set of equivalent atoms:
1 Sc 0.0000 0.0000 0.0000
2 Co 0.0000 0.0000 0.4006
3 Cu 0.0000 0.5000 0.2500

## Properties
Total moment, μB/cell: 4.24
Relative energy among the computed polymorphs, kJ/mol of formula units: 0.0



Record 13
First-principles (PBE) data for Sc2CoCu after structural relaxation, as listed in Alexandria.

a = 6.3784 Å, b = 6.3784 Å, c = 6.3784 Å
α = 90.00°, β = 90.00°, γ = 90.00°
Space group Fm-3m (No. 225)
One atom of each set of equivalent atoms:
1 Sc 0.2500 0.2500 0.2500
2 Co 0.0000 0.0000 0.0000
3 Cu 0.0000 0.0000 0.5000

## Properties
Total moment, μB/cell: 0.00
Relative energy among the computed polymorphs, kJ/mol of formula units: 4.7



Record 14
First-principles (PBE) data for ScCo2Cu after structural relaxation, as listed in Alexandria.

a = 2.7269 Å, b = 4.1964 Å, c = 4.7455 Å
α = 90.00°, β = 97.88°, γ = 90.00°
Space group P2/m (No. 10)
One atom of each set of equivalent atoms:
1 Sc 0.0000 0.0000 0.0000
2 Co 0.2950 0.5000 0.7319
3 Cu 0.5000 0.0000 0.5000

## Properties
Total moment, μB/cell: 1.86



Record 15
First-principles (PBE) data for ScCo2Cu after structural relaxation, as listed in Alexandria.

a = 2.7446 Å, b = 2.7446 Å, c = 25.3979 Å
α = 90.00°, β = 90.00°, γ = 120.00°
Space group R3m (No. 160, hexagonal axes)
One atom of each set of equivalent atoms:
1 Sc 0.0000 0.0000 0.0000
2 Co 0.0000 0.0000 0.4945
3 Co 0.0000 0.0000 0.7554
4 Cu 0.0000 0.0000 0.2411

## Properties
Total moment, μB/cell: 9.98



Record 16
First-principles (PBE) data for ScCoCu2 after structural relaxation, as listed in Alexandria.

a = 3.5432 Å, b = 3.5432 Å, c = 18.5268 Å
α = 90.00°, β = 90.00°, γ = 90.00°
Space group I-42d (No. 122)
One atom of each set of equivalent atoms:
1 Sc 0.0000 0.0000 0.0000
2 Co 0.0000 0.0000 0.5000
3 Cu 0.2257 0.2500 0.6250

## Properties
Total moment, μB/cell: 0.00



Record 17
First-principles (PBE) data for ScCo2Cu after structural relaxation, as listed in Alexandria.

a = 5.1682 Å, b = 8.3237 Å, c = 2.7191 Å
α = 90.00°, β = 114.12°, γ = 90.00°
Space group C2/m (No. 12)
One atom of each set of equivalent atoms:
1 Sc 0.0000 0.0000 0.0000
2 Co 0.2500 0.2500 0.5000
3 Cu 0.0000 0.5000 0.0000

## Properties
Total moment, μB/cell: 4.06



Record 18
First-principles (PBE) data for Sc2Co3Cu after structural relaxation, as listed in Alexandria.

a = 4.8868 Å, b = 4.8868 Å, c = 12.1824 Å
α = 90.00°, β = 90.00°, γ = 120.00°
Space group R-3m (No. 166, hexagonal axes)
One atom of each set of equivalent atoms:
1 Sc 0.0000 0.0000 0.1216
2 Co 0.0000 0.5000 0.0000
3 Cu 0.0000 0.0000 0.5000

## Properties
Total moment, μB/cell: 7.48



Record 19
First-principles (PBE) data for Sc2CoCu after structural relaxation, as listed in Alexandria.

a = 6.3650 Å, b = 3.0194 Å, c = 7.3608 Å
α = 90.00°, β = 98.13°, γ = 90.00°
Space group C2/m (No. 12)
One atom of each set of equivalent atoms:
1 Sc 0.2486 0.0000 0.2772
2 Co 0.0000 0.0000 0.5000
3 Cu 0.0000 0.5000 0.0000

## Properties
Total moment, μB/cell: 0.00
Relative energy among the computed polymorphs, kJ/mol of formula units: 115.7



Record 20
First-principles (PBE) data for Sc6CoCu after structural relaxation, as listed in Alexandria.

a = 4.5689 Å, b = 4.5689 Å, c = 15.7845 Å
α = 90.00°, β = 90.00°, γ = 90.00°
Space group I4/mmm (No. 139)
One atom of each set of equivalent atoms:
1 Sc 0.0000 0.0000 0.2483
2 Sc 0.0000 0.5000 0.0973
3 Co 0.0000 0.0000 0.0000
4 Cu 0.0000 0.0000 0.5000

## Properties
Total moment, μB/cell: 1.44
Relative energy among the computed polymorphs, kJ/mol of formula units: 0.0



Number 1: formation energy from the elements -0.001 eV per atom, raw total energy -6.15 eV per atom. Number 2: formation energy from the elements 0.378 eV per atom, raw total energy -5.59 eV per atom. Number 3: formation energy from the elements 0.116 eV per atom, raw total energy -5.63 eV per atom. Number 4: formation energy from the elements -0.303 eV per atom, raw total energy -5.89 eV per atom. Number 5: formation energy from the elements -0.076 eV per atom, raw total energy -6.04 eV per atom. Number 6: formation energy from the elements -0.259 eV per atom, raw total energy -5.88 eV per atom. Number 7: formation energy from the elements -0.343 eV per atom, raw total energy -6.76 eV per atom. Number 8: formation energy from the elements 0.003 eV per atom, raw total energy -5.96 eV per atom. Number 9: formation energy from the elements 0.251 eV per atom, raw total energy -5.91 eV per atom. Number 10: formation energy from the elements -0.242 eV per atom, raw total energy -6.28 eV per atom. Number 11: formation energy from the elements -0.294 eV per atom, raw total energy -5.76 eV per atom. Number 12: formation energy from the elements 0.043 eV per atom, raw total energy -5.70 eV per atom. Number 13: formation energy from the elements -0.306 eV per atom, raw total energy -6.27 eV per atom. Number 14: formation energy from the elements 0.094 eV per atom, raw total energy -6.07 eV per atom. Number 15: formation energy from the elements 0.275 eV per atom, raw total energy -5.88 eV per atom. Number 16: formation energy from the elements 0.149 eV per atom, raw total energy -5.26 eV per atom. Number 17: formation energy from the elements 0.095 eV per atom, raw total energy -6.06 eV per atom. Number 18: formation energy from the elements -0.299 eV per atom, raw total energy -6.64 eV per atom. Number 19: formation energy from the elements -0.018 eV per atom, raw total energy -5.98 eV per atom. Number 20: formation energy from the elements -0.119 eV per atom, raw total energy -6.27 eV per atom.